# 1
5
Lattice="4.100 0.000 0.000 0.000 4.100 0.000 0.000 0.000 4.490" Properties=species:S:1:pos:R:3 comment="VB2PO, optimized geometry, DFT GGA+U" sg="No. 123" final_energy_ev_per_atom=-4.44 magnetic_moment_mub_per_fu=2.77 pbc="T T T"
V 0.000 0.000 0.000
B 0.000 2.050 0.000
B 2.050 0.000 0.000
P 0.000 0.000 2.245
O 2.050 2.050 2.245

# 2
5
Lattice="3.572 0.000 0.000 0.000 3.572 0.000 0.000 0.000 5.184" Properties=species:S:1:pos:R:3 comment="VBPO2, optimized geometry, DFT GGA+U" sg="No. 123" final_energy_ev_per_atom=-5.99 magnetic_moment_mub_per_fu=0.17 pbc="T T T"
V 0.000 0.000 0.000
B 1.786 1.786 2.592
P 0.000 0.000 2.592
O 0.000 1.786 0.000
O 1.786 0.000 0.000